NdTlZn after structural relaxation. Source: Alexandria via LeMat-Bulk, functional PBE-GGA.

Calculated values
magnetization	0.000	μB per formula unit
total DFT energy (no corrections)	-3.11	eV/atom
energy of formation from the pure elements	-0.31	eV/atom

```
NdTlZn
1.0
4.824 0.000 0.000
2.412 4.177 0.000
2.412 1.392 3.939
Zn Nd Tl
1 1 1
Cartesian
2.412 1.392 0.985
4.824 2.785 1.969
0.000 0.000 0.000
```